VASP calculation (PBE) on a relaxed structure of CaYW.

Structure (POSCAR):
```
CaYW
1.0
8.2105 0.0058 0.0000
7.0303 4.2411 0.0000
-7.6204 -2.1234 2.1984
Y W Ca
1 1 1
Direct
0.6917 0.6917 0.0000 Y
0.3295 0.3295 0.0000 W
0.9788 0.9788 0.0000 Ca
```

Summary:
ρ, g/cm3: 6.79
Total moment, μB per formula unit: 0.00
SG: I4mm
Energy above the lowest structure with this stoichiometry, kJ/mol of atoms: 0.4
Raw total energy, eV per atom: -6.44